Computed, not measured: a geometry-optimized LaMnO3 structure at the PBE with a Hubbard U level of DFT.

Results
Total magnetic moment, Bohr magnetons per cell: 2.00
Calculated volume, Å³/cell: 125
Total DFT energy (no corrections), eV for the cell shown: -76.4

Cell lengths 3.2801, 6.0674, 6.4123 Å; angles 78.65, 89.96, 89.97 degrees
Last column: nearest neighbours and their distance in Å.
Space group P1 (No. 1)
One atom of each set of equivalent atoms:
La1 0.0000 0.0000 0.0000 (multiplicity 1)  7 O 2.35-2.61
La2 0.4997 0.3363 0.4299 (multiplicity 1)  7 O 2.34-2.60
Mn1 0.0012 0.5042 0.8680 (multiplicity 1)  5 O 1.88-2.11
Mn2 0.4990 0.8318 0.5617 (multiplicity 1)  4 O 1.87-2.08
O1 0.9998 0.3950 0.1635 (multiplicity 1)  1 Mn 1.88
O2 0.4992 0.3015 0.8379 (multiplicity 1)  2 Mn 2.08-2.09
O3 0.4997 0.9384 0.2672 (multiplicity 1)  1 Mn 1.87
O4 0.5019 0.7221 0.8697 (multiplicity 1)  3 Mn 1.96-2.11
O5 0.9994 0.0340 0.5922 (multiplicity 1)  2 Mn 2.08
O6 0.9991 0.6132 0.5595 (multiplicity 1)  3 Mn 1.96-2.11